No. 1
VASP calculation (PBE) on crystalline KCd9In4 at its relaxed geometry.

Cell lengths 10.284, 10.284, 10.142 Å; angles 120.46, 120.46, 90.00 degrees
Fractional coordinates of all 28 atoms:
Cd (0.792, 0.292, 0.350)
Cd (0.708, 0.442, 0.650)
Cd (0.952, 0.802, 0.000)
Cd (0.802, 0.048, 0.000)
Cd (0.500, 0.000, 0.000)
Cd (0.942, 0.208, 0.650)
Cd (0.548, 0.302, 0.000)
Cd (0.292, 0.558, 0.350)
Cd (0.452, 0.698, 0.000)
Cd (0.442, 0.942, 0.650)
Cd (0.208, 0.708, 0.650)
Cd (0.302, 0.452, 0.000)
Cd (0.698, 0.548, 0.000)
Cd (0.198, 0.952, 0.000)
Cd (0.048, 0.198, 0.000)
Cd (0.000, 0.500, 0.000)
Cd (0.558, 0.058, 0.350)
Cd (0.058, 0.792, 0.350)
In (0.941, 0.441, 0.251)
In (0.691, 0.191, 0.749)
In (0.059, 0.559, 0.749)
In (0.809, 0.941, 0.251)
In (0.309, 0.809, 0.251)
In (0.191, 0.059, 0.749)
In (0.441, 0.309, 0.251)
In (0.559, 0.691, 0.749)
K (0.250, 0.250, 0.500)
K (0.750, 0.750, 0.500)

Results
Its formation energy is -0.03 eV per atom. As for the space group: I4/mcm, No. 140.

=====

No. 2
VASP calculation (PBE) on crystalline K4Cd5In3 at its relaxed geometry.

Cell lengths 5.565, 6.977, 12.127 Å; angles 84.80, 76.74, 66.49 degrees
Fractional coordinates of all 12 atoms:
Cd (0.572, 0.606, 0.250)
Cd (0.435, 0.004, 0.126)
Cd (0.428, 0.394, 0.750)
Cd (0.565, 0.996, 0.874)
Cd (0.000, 0.500, 0.500)
In (0.828, 0.599, 0.745)
In (0.172, 0.401, 0.255)
In (0.500, 0.500, 0.500)
K (0.153, 0.697, 0.998)
K (0.171, 0.007, 0.651)
K (0.847, 0.303, 0.002)
K (0.829, 0.993, 0.349)

Results
Its formation energy is -0.05 eV per atom. As for the space group: C2/m, No. 12.

=====

No. 3
VASP calculation (PBE) on crystalline KCd3In2 at its relaxed geometry.

Cell lengths 4.962, 9.282, 9.281 Å; angles 57.44, 74.84, 74.84 degrees
Fractional coordinates of all 12 atoms:
Cd (0.675, 0.527, 0.123)
Cd (0.000, 0.340, 0.660)
Cd (0.675, 0.123, 0.527)
Cd (0.000, 0.660, 0.340)
Cd (0.325, 0.877, 0.473)
Cd (0.325, 0.473, 0.877)
In (0.500, 0.833, 0.167)
In (0.184, 0.316, 0.316)
In (0.816, 0.684, 0.684)
In (0.500, 0.167, 0.833)
K (0.135, 0.865, 0.865)
K (0.865, 0.135, 0.135)

Results
Its formation energy is -0.03 eV per atom. As for the space group: C2/m, No. 12.

=====

No. 4
VASP calculation (PBE) on crystalline K3Cd4In2 at its relaxed geometry.

Cell lengths 5.063, 6.908, 10.426 Å; angles 67.46, 76.32, 68.53 degrees
Fractional coordinates of all 9 atoms:
In (0.704, 0.348, 0.243)
In (0.296, 0.652, 0.757)
Cd (0.271, 0.390, 0.068)
Cd (0.729, 0.610, 0.932)
Cd (0.909, 0.545, 0.635)
Cd (0.091, 0.455, 0.365)
K (0.384, 0.863, 0.368)
K (0.616, 0.137, 0.632)
K (0.000, 0.000, 0.000)

Results
Its formation energy is -0.10 eV per atom. As for the space group: P-1, No. 2.

=====

No. 5
VASP calculation (PBE) on crystalline KCd2In at its relaxed geometry.

Cell lengths 6.559, 7.766, 9.616 Å; angles 90.00, 90.00, 90.00 degrees
Fractional coordinates of all 16 atoms:
In (0.125, 0.750, 0.106)
In (0.375, 0.750, 0.606)
In (0.625, 0.250, 0.394)
In (0.875, 0.250, 0.894)
Cd (0.610, 0.441, 0.686)
Cd (0.110, 0.941, 0.814)
Cd (0.890, 0.441, 0.186)
Cd (0.610, 0.059, 0.686)
Cd (0.890, 0.059, 0.186)
Cd (0.390, 0.559, 0.314)
Cd (0.390, 0.941, 0.314)
Cd (0.110, 0.559, 0.814)
K (0.375, 0.250, 0.040)
K (0.125, 0.250, 0.540)
K (0.875, 0.750, 0.460)
K (0.625, 0.750, 0.960)

Results
Its formation energy is -0.08 eV per atom. As for the space group: Pnma, No. 62.

=====

No. 6
VASP calculation (PBE) on crystalline KCdIn2 at its relaxed geometry.

Cell lengths 10.891, 10.891, 10.891 Å; angles 19.33, 19.33, 19.33 degrees
Fractional coordinates of all 4 atoms:
K (0.499, 0.499, 0.499)
In (0.002, 0.002, 0.002)
In (0.258, 0.258, 0.258)
Cd (0.741, 0.741, 0.741)

Results
Its formation energy is 0.05 eV per atom. As for the space group: R3m, No. 160.

=====

No. 7
VASP calculation (PBE) on crystalline K2Cd3In2 at its relaxed geometry.

Cell lengths 5.063, 6.852, 8.048 Å; angles 120.18, 90.00, 111.68 degrees
Fractional coordinates of all 7 atoms:
K (0.163, 0.326, 0.781)
K (0.837, 0.674, 0.219)
In (0.127, 0.255, 0.242)
In (0.873, 0.745, 0.758)
Cd (0.594, 0.188, 0.435)
Cd (0.406, 0.812, 0.565)
Cd (0.500, 0.000, 0.000)

Results
Its formation energy is -0.08 eV per atom. As for the space group: C2/m, No. 12.

=====

| no. | calculated total energy (eV/cell) |
| --- | --- |
| 1 | -41.489 |
| 2 | -17.734 |
| 3 | -19.056 |
| 4 | -13.310 |
| 5 | -23.926 |
| 6 | -7.277 |
| 7 | -11.001 |